# 1
5
Lattice="4.538 0.000 0.000 0.000 4.538 0.000 0.000 0.000 4.738" Properties=species:S:1:pos:R:3 comment="ScTiPS2 | Alexandria via LeMat-Bulk | GGA-PBEsol | relaxed" mass_density_g_cm3=3.20 raw_formation_energy_kj_per_mol_fu=-337 n_ef_per_ev_cell=1.68 energy_ev_per_atom=-6.5959 pbc="T T T"
Sc 0.000 0.000 0.000
Ti 2.269 2.269 2.369
P 2.269 2.269 0.000
S 0.000 2.269 2.369
S 2.269 0.000 2.369


# 2
5
Lattice="5.285 0.000 0.000 0.000 5.285 0.000 0.000 0.000 5.285" Properties=species:S:1:pos:R:3 comment="LiLa3Cr | Alexandria via LeMat-Bulk | GGA-PBEsol | relaxed" mass_density_g_cm3=5.35 n_ef_per_ev_cell=4.56 energy_ev_per_atom=-5.3144 formation_enthalpy_0k_ev_per_atom=0.335 pbc="T T T"
Li 0.000 0.000 0.000
La 0.000 2.643 2.643
La 2.643 0.000 2.643
La 2.643 2.643 0.000
Cr 2.643 2.643 2.643


# 3
5
Lattice="5.155 0.000 0.000 0.000 5.155 0.000 0.000 0.000 5.155" Properties=species:S:1:pos:R:3 comment="Al3TlCu | Alexandria via LeMat-Bulk | GGA-PBEsol | relaxed" mass_density_g_cm3=4.23 n_ef_per_ev_cell=2.83 energy_ev_per_atom=-2.5848 formation_enthalpy_0k_ev_per_atom=1.263 pbc="T T T"
Al 0.000 0.000 2.578
Al 0.000 2.578 0.000
Al 2.578 0.000 0.000
Tl 0.000 0.000 0.000
Cu 2.578 2.578 2.578


# 4
4
Lattice="5.095 -1.487 0.000 5.095 1.487 0.000 -0.686 0.000 5.955" Properties=species:S:1:pos:R:3 comment="SrMg2W | Alexandria via LeMat-Bulk | GGA-PBEsol | relaxed" mass_density_g_cm3=5.89 de_polymorph_mev_per_atom=0 n_ef_per_ev_cell=2.83 energy_ev_per_atom=-3.9757 formation_enthalpy_0k_ev_per_atom=0.795 pbc="T T T"
Sr 0.000 0.000 0.000
Mg 4.834 0.000 3.189
Mg 7.543 0.000 1.762
W 2.042 0.000 4.195


Question: Which formula does entry 2 have?
Answer: LiLa3Cr


Question: Which formula does entry 2 have?
Answer: LiLa3Cr


Copy entry 4 word for word.
4
Lattice="5.095 -1.487 0.000 5.095 1.487 0.000 -0.686 0.000 5.955" Properties=species:S:1:pos:R:3 comment="SrMg2W | Alexandria via LeMat-Bulk | GGA-PBEsol | relaxed" mass_density_g_cm3=5.89 de_polymorph_mev_per_atom=0 n_ef_per_ev_cell=2.83 energy_ev_per_atom=-3.9757 formation_enthalpy_0k_ev_per_atom=0.795 pbc="T T T"
Sr 0.000 0.000 0.000
Mg 4.834 0.000 3.189
Mg 7.543 0.000 1.762
W 2.042 0.000 4.195